First-principles (PBE) data for a geometry-optimized Ho3TlH structure, as listed in Alexandria via LeMat-Bulk.

Computed properties:
The calculation puts the mass density at 10.35 g cm⁻³. The excess energy over the best structure of this formula in the dataset comes out at 0 meV per atom.

Cell and atoms, written as CIF:
```
data_Ho3TlH
_cell_length_a 4.825
_cell_length_b 4.825
_cell_length_c 4.825
_cell_angle_alpha 90.00
_cell_angle_beta 90.00
_cell_angle_gamma 90.00
_symmetry_space_group_name_H-M 'P m -3 m'
_symmetry_Int_Tables_number 221
_symmetry_space_group_name_Hall '-P 4 2 3'
loop_
_atom_site_label
_atom_site_type_symbol
_atom_site_fract_x
_atom_site_fract_y
_atom_site_fract_z
Ho1 Ho 0.000 0.000 0.500
Tl1 Tl 0.500 0.500 0.500
H1 H 0.000 0.000 0.000
```